Record 1
Computed, not measured: crystalline MgPdPt2O6 at its relaxed geometry at the PBE level of DFT.

Computed properties:
As for the raw total energy: -5.82 eV per atom.

Lattice parameters (Å, degrees): 6.102 6.102 3.188 90.00 90.00 108.83
Fractional coordinates of all 10 atoms:
1 Mg 0.500 0.500 0.000
2 O 0.341 0.089 0.000
3 O 0.911 0.659 0.000
4 O 0.659 0.911 0.000
5 Pd 0.000 0.000 0.000
6 O 0.089 0.341 0.000
7 O 0.646 0.354 0.500
8 Pt 0.500 0.000 0.500
9 Pt 0.000 0.500 0.500
10 O 0.354 0.646 0.500

=====

Record 2
Computed, not measured: crystalline LiTaFeAs at its relaxed geometry at the PBE level of DFT.

Computed properties:
As for the raw total energy: -6.46 eV per atom. The energy above the most stable polymorph in this dataset is 24.4 kJ per mole of atoms.

Lattice parameters (Å, degrees): 4.260 4.260 4.260 60.00 60.00 60.00
Fractional coordinates of all 4 atoms:
1 Fe 0.750 0.750 0.750
2 As 0.000 0.000 0.000
3 Ta 0.250 0.250 0.250
4 Li 0.500 0.500 0.500

=====

Record 3
Computed, not measured: crystalline Rb2HfOsO6 at its relaxed geometry at the PBE level of DFT.

Computed properties:
As for the raw total energy: -7.23 eV per atom.

Lattice parameters (Å, degrees): 5.685 5.685 5.685 60.00 60.00 60.00
Last column: magnetic moment on the atom in μB.
Fractional coordinates of all 10 atoms:
1 Hf 0.500 0.500 0.500  0.01
2 Os 0.000 0.000 0.000  0.22
3 O 0.759 0.759 0.241  0.01
4 Rb 0.250 0.250 0.250  0.00
5 O 0.241 0.759 0.759  0.02
6 O 0.759 0.241 0.759  0.02
7 Rb 0.750 0.750 0.750  0.00
8 O 0.759 0.241 0.241  0.02
9 O 0.241 0.241 0.759  0.01
10 O 0.241 0.759 0.241  0.02

=====

Record 4
Computed, not measured: crystalline PaZnTe at its relaxed geometry at the PBE level of DFT.

Computed properties:
As for the raw total energy: -4.48 eV per atom. The energy above the most stable polymorph in this dataset is 11.0 kJ per mole of atoms.

Lattice parameters (Å, degrees): 4.742 4.742 4.742 60.00 60.00 60.00
Last column: magnetic moment on the atom in μB.
Fractional coordinates of all 3 atoms:
1 Te 0.750 0.750 0.750  -0.01
2 Pa 0.250 0.250 0.250  0.72
3 Zn 0.000 0.000 0.000  0.03

=====

Record 5
Computed, not measured: crystalline DyErH2O4 at its relaxed geometry at the PBE level of DFT.

Computed properties:
As for the raw total energy: -7.13 eV per atom.

Lattice parameters (Å, degrees): 4.279 3.583 5.902 90.00 109.49 90.00
Fractional coordinates of all 8 atoms:
1 O 0.252 0.500 0.562
2 H 0.489 0.500 0.586
3 Er 0.835 0.500 0.191
4 Dy 0.165 0.000 0.811
5 O 0.269 0.500 0.057
6 H 0.509 0.000 0.407
7 O 0.734 0.000 0.950
8 O 0.746 0.000 0.435

=====

Record 6
Computed, not measured: crystalline ScGaPt2 at its relaxed geometry at the PBE level of DFT.

Computed properties:
As for the raw total energy: -6.32 eV per atom.

Lattice parameters (Å, degrees): 3.395 3.395 5.756 90.00 90.00 90.00
Fractional coordinates of all 4 atoms:
1 Sc 0.000 0.000 0.500
2 Ga 0.000 0.000 0.000
3 Pt 0.500 0.500 0.759
4 Pt 0.500 0.500 0.241

=====

Record 7
Computed, not measured: crystalline GdPO4 at its relaxed geometry at the PBE level of DFT.

Computed properties:
As for the raw total energy: -7.93 eV per atom.

Lattice parameters (Å, degrees): 6.562 6.562 6.562 136.73 136.73 62.85
Fractional coordinates of all 12 atoms:
1 O 0.666 0.549 0.364
2 O 0.565 0.948 0.864
3 O 0.185 0.302 0.636
4 O 0.084 0.701 0.136
5 Gd 0.000 0.000 0.000
6 Gd 0.750 0.250 0.500
7 O 0.052 0.916 0.617
8 O 0.451 0.815 0.117
9 O 0.299 0.435 0.383
10 O 0.698 0.334 0.882
11 P 0.500 0.500 0.000
12 P 0.250 0.750 0.500

=====

Record 8
Computed, not measured: crystalline TaNiGeIr at its relaxed geometry at the PBE level of DFT.

Computed properties:
As for the raw total energy: -7.87 eV per atom.

Lattice parameters (Å, degrees): 4.377 4.377 4.377 60.00 60.00 60.00
Fractional coordinates of all 4 atoms:
1 Ir 0.500 0.500 0.500
2 Ge 0.000 0.000 0.000
3 Ta 0.250 0.250 0.250
4 Ni 0.750 0.750 0.750

=====

Record 9
Computed, not measured: crystalline PrZnIn at its relaxed geometry at the PBE level of DFT.

Computed properties:
As for the raw total energy: -3.38 eV per atom.

Lattice parameters (Å, degrees): 7.693 4.791 8.104 90.00 90.00 90.00
Fractional coordinates of all 12 atoms:
1 In 0.291 0.250 0.911
2 In 0.791 0.250 0.589
3 Pr 0.494 0.250 0.280
4 In 0.709 0.750 0.089
5 Pr 0.506 0.750 0.720
6 Pr 0.006 0.750 0.780
7 Zn 0.694 0.250 0.917
8 Zn 0.806 0.750 0.417
9 Zn 0.306 0.750 0.083
10 Zn 0.194 0.250 0.583
11 In 0.209 0.750 0.411
12 Pr 0.994 0.250 0.220

=====

Record 10
Computed, not measured: crystalline K2HgSbCl6 at its relaxed geometry at the PBE level of DFT.

Computed properties:
As for the raw total energy: -2.92 eV per atom.

Lattice parameters (Å, degrees): 7.716 7.716 7.716 60.00 60.00 60.00
Fractional coordinates of all 10 atoms:
1 Cl 0.758 0.758 0.242
2 Cl 0.758 0.242 0.242
3 K 0.750 0.750 0.750
4 Cl 0.242 0.242 0.758
5 Cl 0.242 0.758 0.242
6 Sb 0.000 0.000 0.000
7 Cl 0.758 0.242 0.758
8 Cl 0.242 0.758 0.758
9 Hg 0.500 0.500 0.500
10 K 0.250 0.250 0.250

=====

Record 11
Computed, not measured: crystalline Co5Mo2Ir at its relaxed geometry at the PBE level of DFT.

Computed properties:
As for the raw total energy: -8.35 eV per atom. As for the formation energy: -94 meV/atom.

Lattice parameters (Å, degrees): 4.132 5.183 5.183 60.59 90.00 90.00
Last column: magnetic moment on the atom in μB.
Fractional coordinates of all 8 atoms:
1 Mo 0.000 0.332 0.332  -0.23
2 Co 0.500 0.171 0.671  0.38
3 Mo 0.500 0.659 0.659  -0.21
4 Co 0.000 0.326 0.838  0.43
5 Co 0.500 0.163 0.163  0.67
6 Co 0.500 0.671 0.171  0.36
7 Co 0.000 0.838 0.326  0.46
8 Ir 0.000 0.840 0.840  0.02

=====

Record 12
Computed, not measured: crystalline TbPaPO at its relaxed geometry at the PBE level of DFT.

Computed properties:
As for the raw total energy: -7.49 eV per atom. The energy above the most stable polymorph in this dataset is 0.0 kJ per mole of atoms.

Lattice parameters (Å, degrees): 4.147 7.898 5.490 90.00 90.00 90.00
Last column: magnetic moment on the atom in μB.
Fractional coordinates of all 8 atoms:
1 O 0.000 0.830 0.438  -0.02
2 P 0.500 0.645 0.939  -0.01
3 P 0.500 0.355 0.439  -0.01
4 Pa 0.000 0.125 0.439  1.08
5 Tb 0.500 0.293 0.939  0.00
6 Tb 0.500 0.707 0.439  0.00
7 Pa 0.000 0.875 0.939  1.08
8 O 0.000 0.170 0.938  -0.02